Record 1
BiSb2Te2 | meta-GGA SCAN | PBEsol geometry

The calculation puts the energy above the most stable polymorph in this dataset at 0.00 eV/f.u. The uncorrected formation energy comes out at 152 meV/atom. For the density of states at the Fermi level, the calculation gives 4.7 states/eV per cell. The value obtained for the calculated density is 8.0 g cm⁻³. For the size of the total moment, the calculation gives 0.0 μB/f.u.

Lattice parameters (Å, degrees): 3.9093 8.6481 8.6481 90.00 90.00 90.00
Last column: nearest neighbours and their distance in Å.
Fractional positions:
Te: 0.5000 0.3518 0.1482  2 Sb 2.94
Te: 0.5000 0.6482 0.8518  2 Sb 2.94
Te: 0.5000 0.1482 0.6482  2 Sb 2.94
Te: 0.5000 0.8518 0.3518  2 Sb 2.94
Sb: 0.0000 0.3280 0.8280  2 Te 2.94, 2 Bi 3.20
Sb: 0.0000 0.8280 0.6720  2 Te 2.94, 2 Bi 3.20
Sb: 0.0000 0.1720 0.3280  2 Te 2.94, 2 Bi 3.20
Sb: 0.0000 0.6720 0.1720  2 Te 2.94, 2 Bi 3.20
Bi: 0.0000 0.5000 0.5000  4 Sb 3.20
Bi: 0.0000 0.0000 0.0000  4 Sb 3.20


Record 2
BaPNCl2 | meta-GGA SCAN | PBEsol geometry

The uncorrected formation energy comes out at -627 meV/atom. For the density of states at the Fermi level, the calculation gives 1.9 states/eV per cell. The value obtained for the calculated density is 3.8 g cm⁻³. For the size of the total moment, the calculation gives 0.0 μB/f.u.

Lattice parameters (Å, degrees): 3.3803 5.6995 5.6995 90.00 90.00 90.00
Last column: nearest neighbours and their distance in Å.
Fractional positions:
Cl: 0.0000 0.5000 0.0000  2 N 2.85
Cl: 0.0000 0.0000 0.5000  2 N 2.85
N: 0.0000 0.0000 0.0000  2 P 1.69
P: 0.5000 0.0000 0.0000  2 N 1.69
Ba: 0.5000 0.5000 0.5000  8 Cl 3.31, 2 Ba 3.38


Record 3
CsBeSe2N | meta-GGA SCAN | PBEsol geometry

The uncorrected formation energy comes out at 2204 meV/atom. For the density of states at the Fermi level, the calculation gives 3.0 states/eV per cell. The value obtained for the calculated density is 3.7 g cm⁻³. For the size of the total moment, the calculation gives 1.1 μB/f.u.

Lattice parameters (Å, degrees): 4.4411 5.6682 5.6682 90.00 90.00 90.00
Last column: nearest neighbours and their distance in Å.
Fractional positions:
Se: 0.0000 0.5000 0.0000  2 Cs 2.83
Se: 0.0000 0.0000 0.5000  2 Cs 2.83
Be: 0.5000 0.5000 0.5000  8 Se 3.60, 4 N 4.01
Cs: 0.0000 0.0000 0.0000  2 N 2.22
N: 0.5000 0.0000 0.0000  2 Cs 2.22


Record 4
Mg2TlMo | meta-GGA SCAN | PBEsol geometry

The calculation puts the energy above the most stable polymorph in this dataset at 0.00 eV/f.u. The calculation puts the formation energy at 361.8 meV per atom. For the density of states at the Fermi level, the calculation gives 2.7 states/eV per cell. The value obtained for the calculated density is 7.6 g cm⁻³. For the size of the total moment, the calculation gives 0.0 μB/f.u.

Lattice parameters (Å, degrees): 3.0565 4.1323 6.0256 90.00 90.00 90.00
Last column: nearest neighbours and their distance in Å.
Fractional positions:
Mo: 0.0000 0.0000 0.4895  6 Mg 2.90-3.11, 4 Tl 2.98, 2 Mo 3.06
Tl: 0.5000 0.5000 0.7402  6 Mg 2.86-3.16, 4 Mo 2.98, 2 Tl 3.06
Mg: 0.0000 0.0000 0.0053  2 Mo 2.92-3.11, 6 Mg 3.01-3.06, 4 Tl 3.03
Mg: 0.5000 0.5000 0.2650  2 Tl 2.86-3.16, 4 Mo 2.90, 6 Mg 3.01-3.06


Record 5
LaY2Fe | meta-GGA SCAN | PBEsol geometry

The calculation puts the energy above the most stable polymorph in this dataset at 0.00 eV/f.u. The calculation puts the formation energy at 325.7 meV per atom. For the density of states at the Fermi level, the calculation gives 4.0 states/eV per cell. The value obtained for the calculated density is 6.1 g cm⁻³. For the size of the total moment, the calculation gives 2.3 μB/f.u.

Lattice parameters (Å, degrees): 4.5897 4.5846 4.8435 90.00 90.00 90.00
Last column: nearest neighbours and their distance in Å.
Fractional positions:
Y: 0.5000 0.5000 0.0000  4 Y 3.24, 4 Fe 3.33, 4 La 3.34
Y: 0.0000 0.0000 0.0000  4 Y 3.24, 4 La 3.33, 4 Fe 3.34
La: 0.0000 0.5000 0.5000  4 Fe 3.24, 8 Y 3.33-3.34
Fe: 0.5000 0.0000 0.5000  4 La 3.24, 8 Y 3.33-3.34


Record 6
CoCuNi2 | meta-GGA SCAN | PBEsol geometry

The calculation puts the formation energy at 70.0 meV per atom. For the density of states at the Fermi level, the calculation gives 4.1 states/eV per cell. The value obtained for the calculated density is 9.4 g cm⁻³. For the size of the total moment, the calculation gives 3.1 μB/f.u.

Lattice parameters (Å, degrees): 2.4501 2.4501 7.0323 90.00 90.00 90.00
Last column: nearest neighbours and their distance in Å.
Fractional positions:
Co: 0.0000 0.0000 0.4922  4 Ni 2.42, 4 Co 2.45, 4 Cu 2.51
Cu: 0.5000 0.5000 0.7511  4 Cu 2.45, 4 Ni 2.49, 4 Co 2.51
Ni: 0.5000 0.5000 0.2516  4 Co 2.42, 8 Ni 2.45
Ni: 0.0000 0.0000 0.0051  8 Ni 2.45, 4 Cu 2.49


Record 7
ZrTiPd2 | meta-GGA SCAN | PBEsol geometry

The calculation puts the formation energy at -581.3 meV per atom. For the density of states at the Fermi level, the calculation gives 4.6 states/eV per cell. The value obtained for the calculated density is 8.7 g cm⁻³. For the size of the total moment, the calculation gives 0.0 μB/f.u.

Lattice parameters (Å, degrees): 4.5571 4.5571 4.5571 60.00 60.00 60.00
Last column: nearest neighbours and their distance in Å.
Fractional positions:
Ti: 0.0000 0.0000 0.0000  8 Pd 2.79
Pd: 0.2500 0.2500 0.2500  4 Zr 2.79, 4 Ti 2.79
Pd: 0.7500 0.7500 0.7500  4 Zr 2.79, 4 Ti 2.79
Zr: 0.5000 0.5000 0.5000  8 Pd 2.79


Record 8
CuCl2 | meta-GGA SCAN | PBEsol geometry

The uncorrected formation energy comes out at -662 meV/atom. The value obtained for the calculated density is 3.3 g cm⁻³. For the size of the total moment, the calculation gives 1.0 μB/f.u.

Lattice parameters (Å, degrees): 3.2535 6.5719 6.7030 82.74 75.95 75.67
Last column: nearest neighbours and their distance in Å.
Fractional positions:
Cl: 0.8088 0.1216 0.2609  2 Cu 2.23
Cl: 0.5866 0.6084 0.2184  2 Cu 2.26
Cl: 0.1912 0.8784 0.7391  2 Cu 2.23
Cl: 0.4134 0.3916 0.7816  2 Cu 2.26
Cu: 0.7932 0.6389 0.7747  4 Cl 2.23-2.26
Cu: 0.2068 0.3611 0.2253  4 Cl 2.23-2.26